A.
# SnPS2F, optimized geometry, DFT PBE
data_SnPS2F
_chemical_formula_sum 'Sn1 P1 S2 F1'
_cell_length_a 4.943
_cell_length_b 4.943
_cell_length_c 5.307
_cell_angle_alpha 90.00
_cell_angle_beta 90.00
_cell_angle_gamma 90.00
_symmetry_space_group_name_H-M 'P 4/m m m'
_symmetry_Int_Tables_number 123
_symmetry_space_group_name_Hall '-P 4 2'
loop_
_atom_site_label
_atom_site_type_symbol
_atom_site_fract_x
_atom_site_fract_y
_atom_site_fract_z
Sn1 Sn 0.000 0.000 0.000
P1 P 0.000 0.000 0.500
S1 S 0.000 0.500 0.000
F1 F 0.500 0.500 0.500
# M_tot = 0.09 μB per atom

B.
# SnPS2F, optimized geometry, DFT PBE
data_SnPS2F
_chemical_formula_sum 'Sn1 P1 S2 F1'
_cell_length_a 5.128
_cell_length_b 5.128
_cell_length_c 3.718
_cell_angle_alpha 90.00
_cell_angle_beta 90.00
_cell_angle_gamma 90.00
_symmetry_space_group_name_H-M 'P 4/m m m'
_symmetry_Int_Tables_number 123
_symmetry_space_group_name_Hall '-P 4 2'
loop_
_atom_site_label
_atom_site_type_symbol
_atom_site_fract_x
_atom_site_fract_y
_atom_site_fract_z
Sn1 Sn 0.000 0.000 0.000
P1 P 0.500 0.500 0.000
S1 S 0.000 0.500 0.500
F1 F 0.500 0.500 0.500
# M_tot = 0.00 μB per atom

Quick one: least stable of them? A

A.
# TeP2SF, optimized geometry, DFT PBE
data_TeP2SF
_chemical_formula_sum 'Te1 P2 S1 F1'
_cell_length_a 5.180
_cell_length_b 5.180
_cell_length_c 5.001
_cell_angle_alpha 90.00
_cell_angle_beta 90.00
_cell_angle_gamma 90.00
_symmetry_space_group_name_H-M 'P 4/m m m'
_symmetry_Int_Tables_number 123
_symmetry_space_group_name_Hall '-P 4 2'
loop_
_atom_site_label
_atom_site_type_symbol
_atom_site_fract_x
_atom_site_fract_y
_atom_site_fract_z
Te1 Te 0.000 0.000 0.000
P1 P 0.000 0.500 0.000
S1 S 0.000 0.000 0.500
F1 F 0.500 0.500 0.500
# M_tot = 0.32 μB per atom

B.
# TeP2SF, optimized geometry, DFT PBE
data_TeP2SF
_chemical_formula_sum 'Te1 P2 S1 F1'
_cell_length_a 4.110
_cell_length_b 4.110
_cell_length_c 5.643
_cell_angle_alpha 90.00
_cell_angle_beta 90.00
_cell_angle_gamma 90.00
_symmetry_space_group_name_H-M 'P 4/m m m'
_symmetry_Int_Tables_number 123
_symmetry_space_group_name_Hall '-P 4 2'
loop_
_atom_site_label
_atom_site_type_symbol
_atom_site_fract_x
_atom_site_fract_y
_atom_site_fract_z
Te1 Te 0.000 0.000 0.000
P1 P 0.000 0.500 0.500
S1 S 0.500 0.500 0.000
F1 F 0.500 0.500 0.500
# M_tot = 0.00 μB per atom

Quick one: least stable of them? A

A.
# TiPS2F, optimized geometry, DFT PBE
data_TiPS2F
_chemical_formula_sum 'Ti1 P1 S2 F1'
_cell_length_a 4.709
_cell_length_b 4.709
_cell_length_c 3.690
_cell_angle_alpha 90.00
_cell_angle_beta 90.00
_cell_angle_gamma 90.00
_symmetry_space_group_name_H-M 'P 4/m m m'
_symmetry_Int_Tables_number 123
_symmetry_space_group_name_Hall '-P 4 2'
loop_
_atom_site_label
_atom_site_type_symbol
_atom_site_fract_x
_atom_site_fract_y
_atom_site_fract_z
Ti1 Ti 0.000 0.000 0.000
P1 P 0.500 0.500 0.000
S1 S 0.000 0.500 0.500
F1 F 0.500 0.500 0.500
# M_tot = 0.00 μB per atom

B.
# TiPS2F, optimized geometry, DFT PBE
data_TiPS2F
_chemical_formula_sum 'Ti1 P1 S2 F1'
_cell_length_a 4.554
_cell_length_b 4.554
_cell_length_c 4.830
_cell_angle_alpha 90.00
_cell_angle_beta 90.00
_cell_angle_gamma 90.00
_symmetry_space_group_name_H-M 'P 4/m m m'
_symmetry_Int_Tables_number 123
_symmetry_space_group_name_Hall '-P 4 2'
loop_
_atom_site_label
_atom_site_type_symbol
_atom_site_fract_x
_atom_site_fract_y
_atom_site_fract_z
Ti1 Ti 0.000 0.000 0.000
P1 P 0.000 0.000 0.500
S1 S 0.000 0.500 0.000
F1 F 0.500 0.500 0.500
# M_tot = 0.00 μB per atom

Quick one: least stable of them? A

A.
# TiP2SF, optimized geometry, DFT PBE
data_TiP2SF
_chemical_formula_sum 'Ti1 P2 S1 F1'
_cell_length_a 3.949
_cell_length_b 3.949
_cell_length_c 5.169
_cell_angle_alpha 90.00
_cell_angle_beta 90.00
_cell_angle_gamma 90.00
_symmetry_space_group_name_H-M 'P 4/m m m'
_symmetry_Int_Tables_number 123
_symmetry_space_group_name_Hall '-P 4 2'
loop_
_atom_site_label
_atom_site_type_symbol
_atom_site_fract_x
_atom_site_fract_y
_atom_site_fract_z
Ti1 Ti 0.000 0.000 0.000
P1 P 0.000 0.500 0.500
S1 S 0.500 0.500 0.000
F1 F 0.500 0.500 0.500
# M_tot = 0.08 μB per atom

B.
# TiP2SF, optimized geometry, DFT PBE
data_TiP2SF
_chemical_formula_sum 'Ti1 P2 S1 F1'
_cell_length_a 4.689
_cell_length_b 4.689
_cell_length_c 4.527
_cell_angle_alpha 90.00
_cell_angle_beta 90.00
_cell_angle_gamma 90.00
_symmetry_space_group_name_H-M 'P 4/m m m'
_symmetry_Int_Tables_number 123
_symmetry_space_group_name_Hall '-P 4 2'
loop_
_atom_site_label
_atom_site_type_symbol
_atom_site_fract_x
_atom_site_fract_y
_atom_site_fract_z
Ti1 Ti 0.000 0.000 0.000
P1 P 0.000 0.500 0.000
S1 S 0.000 0.000 0.500
F1 F 0.500 0.500 0.500
# M_tot = 0.00 μB per atom

Quick one: least stable of them? A

A.
# YPS2F, optimized geometry, DFT PBE
data_YPS2F
_chemical_formula_sum 'Y1 P1 S2 F1'
_cell_length_a 4.779
_cell_length_b 4.779
_cell_length_c 3.901
_cell_angle_alpha 90.00
_cell_angle_beta 90.00
_cell_angle_gamma 90.00
_symmetry_space_group_name_H-M 'P 4/m m m'
_symmetry_Int_Tables_number 123
_symmetry_space_group_name_Hall '-P 4 2'
loop_
_atom_site_label
_atom_site_type_symbol
_atom_site_fract_x
_atom_site_fract_y
_atom_site_fract_z
Y1 Y 0.000 0.000 0.000
P1 P 0.500 0.500 0.000
S1 S 0.000 0.500 0.500
F1 F 0.500 0.500 0.500
# M_tot = 0.00 μB per atom

B.
# YPS2F, optimized geometry, DFT PBE
data_YPS2F
_chemical_formula_sum 'Y1 P1 S2 F1'
_cell_length_a 5.217
_cell_length_b 5.217
_cell_length_c 5.592
_cell_angle_alpha 90.00
_cell_angle_beta 90.00
_cell_angle_gamma 90.00
_symmetry_space_group_name_H-M 'P 4/m m m'
_symmetry_Int_Tables_number 123
_symmetry_space_group_name_Hall '-P 4 2'
loop_
_atom_site_label
_atom_site_type_symbol
_atom_site_fract_x
_atom_site_fract_y
_atom_site_fract_z
Y1 Y 0.000 0.000 0.000
P1 P 0.000 0.000 0.500
S1 S 0.000 0.500 0.000
F1 F 0.500 0.500 0.500
# M_tot = 0.14 μB per atom

Quick one: least stable of them? B

A.
# SbP3F, optimized geometry, DFT PBE
data_SbP3F
_chemical_formula_sum 'Sb1 P3 F1'
_cell_length_a 4.469
_cell_length_b 4.469
_cell_length_c 4.469
_cell_angle_alpha 90.00
_cell_angle_beta 90.00
_cell_angle_gamma 90.00
_symmetry_space_group_name_H-M 'P m -3 m'
_symmetry_Int_Tables_number 221
_symmetry_space_group_name_Hall '-P 4 2 3'
loop_
_atom_site_label
_atom_site_type_symbol
_atom_site_fract_x
_atom_site_fract_y
_atom_site_fract_z
Sb1 Sb 0.000 0.000 0.000
P1 P 0.000 0.500 0.500
F1 F 0.500 0.500 0.500
# M_tot = 0.00 μB per atom

B.
# SbP3F, optimized geometry, DFT PBE
data_SbP3F
_chemical_formula_sum 'Sb1 P3 F1'
_cell_length_a 5.068
_cell_length_b 5.068
_cell_length_c 5.068
_cell_angle_alpha 90.00
_cell_angle_beta 90.00
_cell_angle_gamma 90.00
_symmetry_space_group_name_H-M 'P m -3 m'
_symmetry_Int_Tables_number 221
_symmetry_space_group_name_Hall '-P 4 2 3'
loop_
_atom_site_label
_atom_site_type_symbol
_atom_site_fract_x
_atom_site_fract_y
_atom_site_fract_z
Sb1 Sb 0.000 0.000 0.000
P1 P 0.000 0.000 0.500
F1 F 0.500 0.500 0.500
# M_tot = 0.00 μB per atom

Quick one: least stable of them? B

A.
# SbPF3, optimized geometry, DFT PBE
data_SbPF3
_chemical_formula_sum 'Sb1 P1 F3'
_cell_length_a 4.516
_cell_length_b 4.516
_cell_length_c 4.516
_cell_angle_alpha 90.00
_cell_angle_beta 90.00
_cell_angle_gamma 90.00
_symmetry_space_group_name_H-M 'P m -3 m'
_symmetry_Int_Tables_number 221
_symmetry_space_group_name_Hall '-P 4 2 3'
loop_
_atom_site_label
_atom_site_type_symbol
_atom_site_fract_x
_atom_site_fract_y
_atom_site_fract_z
Sb1 Sb 0.000 0.000 0.000
P1 P 0.500 0.500 0.500
F1 F 0.000 0.000 0.500
# M_tot = 0.60 μB per atom

B.
# SbPF3, optimized geometry, DFT PBE
data_SbPF3
_chemical_formula_sum 'Sb1 P1 F3'
_cell_length_a 4.302
_cell_length_b 4.302
_cell_length_c 4.302
_cell_angle_alpha 90.00
_cell_angle_beta 90.00
_cell_angle_gamma 90.00
_symmetry_space_group_name_H-M 'P m -3 m'
_symmetry_Int_Tables_number 221
_symmetry_space_group_name_Hall '-P 4 2 3'
loop_
_atom_site_label
_atom_site_type_symbol
_atom_site_fract_x
_atom_site_fract_y
_atom_site_fract_z
Sb1 Sb 0.000 0.000 0.000
P1 P 0.500 0.500 0.500
F1 F 0.000 0.500 0.500
# M_tot = 0.00 μB per atom

Quick one: least stable of them? B